# Ba2Ag2Te3

Ba2Ag2Te3 after structural relaxation (PBE-GGA, Alexandria).

Unit cell a=9.0324 b=9.0324 c=13.7962 alpha=120.48 beta=120.48 gamma=30.15
Last column: nearest neighbours and their distance in Å.
Sites, in units of the cell vectors:
1 Ba 0.0962 0.0962 0.4504  7 Te 3.53-3.79, 1 Ag 3.77
2 Ba 0.2381 0.2381 0.8448  6 Te 3.44-3.54
3 Ba 0.7619 0.7619 0.1552  6 Te 3.44-3.54
4 Ba 0.9038 0.9038 0.5496  7 Te 3.53-3.79, 1 Ag 3.77
5 Ag 0.0897 0.0897 0.1730  4 Te 2.92-2.94, 2 Ag 3.23
6 Ag 0.4610 0.4610 0.1697  4 Te 2.89-3.02, 2 Ag 3.23
7 Ag 0.5390 0.5390 0.8303  4 Te 2.89-3.02, 2 Ag 3.23
8 Ag 0.9103 0.9103 0.8270  4 Te 2.92-2.94, 2 Ag 3.23
9 Te 0.1079 0.1079 0.9736  4 Ag 2.89-2.94
10 Te 0.3361 0.3361 0.6811  3 Ag 2.92-3.02
11 Te 0.4120 0.4120 0.3398  1 Ag 2.89
12 Te 0.5880 0.5880 0.6602  1 Ag 2.89
13 Te 0.6639 0.6639 0.3189  3 Ag 2.92-3.02
14 Te 0.8921 0.8921 0.0264  4 Ag 2.89-2.94

Space group = No. 12
Raw formation energy = -1043 meV/atom
Size of the total moment = 0.00 μB per formula unit


# Ba2AgTe

Ba2AgTe after structural relaxation (PBE-GGA, Alexandria).

Unit cell a=7.8004 b=7.8004 c=7.8004 alpha=110.05 beta=110.05 gamma=108.32
Last column: nearest neighbours and their distance in Å.
Sites, in units of the cell vectors:
1 Ba 0.1198 0.6250 0.9948  2 Ag 3.33, 2 Te 3.39
2 Ba 0.3750 0.3698 0.4948  2 Ag 3.33, 2 Te 3.39
3 Ba 0.6302 0.1250 0.0052  2 Ag 3.33, 2 Te 3.39
4 Ba 0.8750 0.8802 0.5052  2 Ag 3.33, 2 Te 3.39
5 Ag 0.0000 0.0000 0.0000  4 Ba 3.33
6 Ag 0.7500 0.2500 0.5000  4 Ba 3.33
7 Te 0.2500 0.7500 0.5000  4 Ba 3.39
8 Te 0.5000 0.5000 0.0000  4 Ba 3.39

Space group = No. 122
Raw formation energy = -725 meV/atom
Size of the total moment = 0.86 μB per formula unit


# Ba2Ag2Te

Ba2Ag2Te after structural relaxation (PBE-GGA, Alexandria).

Unit cell a=8.6971 b=8.6971 c=4.4759 alpha=90.00 beta=90.00 gamma=90.00
Last column: nearest neighbours and their distance in Å.
Sites, in units of the cell vectors:
1 Ba 0.1855 0.3145 0.0000  6 Ag 3.35-3.48
2 Ba 0.3145 0.8145 0.0000  6 Ag 3.35-3.48
3 Ba 0.6855 0.1855 0.0000  6 Ag 3.35-3.48
4 Ba 0.8145 0.6855 0.0000  6 Ag 3.35-3.48
5 Ag 0.1119 0.6119 0.5000  1 Ag 2.75
6 Ag 0.3881 0.1119 0.5000  1 Ag 2.75
7 Ag 0.6119 0.8881 0.5000  1 Ag 2.75
8 Ag 0.8881 0.3881 0.5000  1 Ag 2.75
9 Te 0.0000 0.0000 0.5000  4 Ag 3.51, 8 Ba 3.88
10 Te 0.5000 0.5000 0.5000  4 Ag 3.51, 8 Ba 3.88

Space group = No. 127
Raw formation energy = -615 meV/atom
Energy relative to the lowest polymorph listed for this composition = 4.49 kJ/mol of atoms
Size of the total moment = 0.00 μB per formula unit


# BaAg2Te2

BaAg2Te2 after structural relaxation (PBE-GGA, Alexandria).

Unit cell a=6.3186 b=6.3186 c=6.3186 alpha=128.45 beta=128.45 gamma=75.90
Last column: nearest neighbours and their distance in Å.
Sites, in units of the cell vectors:
1 Ba 0.0000 0.0000 0.0000  2 Ag 3.56, 8 Te 3.71
2 Ag 0.3569 0.3569 0.0000  1 Ag 2.85, 4 Te 2.95
3 Ag 0.6431 0.6431 0.0000  1 Ag 2.85, 4 Te 2.95
4 Te 0.2500 0.7500 0.5000  4 Ag 2.95
5 Te 0.7500 0.2500 0.5000  4 Ag 2.95

Space group = No. 139
Raw formation energy = -550 meV/atom
Size of the total moment = 0.00 μB per formula unit


# BaAg2Te2

BaAg2Te2 after structural relaxation (PBE-GGA, Alexandria).

Unit cell a=4.8502 b=7.2517 c=9.3653 alpha=83.59 beta=78.12 gamma=82.36
Last column: nearest neighbours and their distance in Å.
Sites, in units of the cell vectors:
1 Ba 0.2342 0.2388 0.1506  6 Te 3.42-3.69, 1 Ag 3.82
2 Ba 0.7658 0.7612 0.8494  6 Te 3.42-3.69, 1 Ag 3.82
3 Ag 0.0924 0.1431 0.5768  4 Te 2.89-2.96, 2 Ag 2.94-2.98
4 Ag 0.3776 0.3821 0.7200  4 Te 2.85-3.06, 1 Ag 2.94
5 Ag 0.6224 0.6179 0.2800  4 Te 2.85-3.06, 1 Ag 2.94
6 Ag 0.9076 0.8569 0.4232  4 Te 2.89-2.96, 2 Ag 2.94-2.98
7 Te 0.1626 0.7422 0.1320  3 Ag 2.86-2.92
8 Te 0.3660 0.7529 0.5824  5 Ag 2.85-3.06
9 Te 0.6340 0.2471 0.4176  5 Ag 2.85-3.06
10 Te 0.8374 0.2578 0.8680  3 Ag 2.86-2.92

Space group = No. 2
Raw formation energy = -747 meV/atom
Size of the total moment = 0.00 μB per formula unit


# BaThAg2Te4

BaThAg2Te4 after structural relaxation (PBE-GGA, Alexandria).

Unit cell a=7.2378 b=7.2378 c=7.2378 alpha=117.13 beta=109.34 gamma=102.29
Last column: nearest neighbours and their distance in Å.
Sites, in units of the cell vectors:
1 Ba 0.0000 0.0000 0.0000  8 Te 3.64-3.70
2 Th 0.5000 0.5000 0.0000  4 Te 3.04
3 Ag 0.3425 0.8425 0.5000  2 Te 2.73, 1 Ag 2.86
4 Ag 0.6575 0.1575 0.5000  2 Te 2.73, 1 Ag 2.86
5 Te 0.0935 0.0763 0.5614  1 Ag 2.73, 1 Th 3.04
6 Te 0.4851 0.9237 0.0172  1 Ag 2.73, 1 Th 3.04
7 Te 0.5149 0.5322 0.4386  1 Ag 2.73, 1 Th 3.04
8 Te 0.9065 0.4678 0.9828  1 Ag 2.73, 1 Th 3.04

Space group = No. 23
Raw formation energy = -799 meV/atom
Size of the total moment = 0.00 μB per formula unit


# Ba2TmAgTe4

Ba2TmAgTe4 after structural relaxation (PBE-GGA, Alexandria).

Unit cell a=8.0434 b=4.6484 c=8.2115 alpha=90.00 beta=110.35 gamma=90.00
Last column: nearest neighbours and their distance in Å.
Sites, in units of the cell vectors:
1 Ba 0.0000 0.0000 0.0000  6 Te 3.47-3.58
2 Ba 0.0000 0.5000 0.5000  6 Te 3.42-3.48
3 Tm 0.5000 0.0000 0.5000  6 Te 3.11
4 Ag 0.5000 0.5000 0.0000  6 Te 3.12-3.27
5 Te 0.2839 0.5000 0.2719  2 Tm 3.11, 1 Ag 3.27, 3 Ba 3.42-3.47
6 Te 0.2964 0.0000 0.7600  1 Tm 3.11, 2 Ag 3.12, 2 Ba 3.48
7 Te 0.7036 0.0000 0.2400  1 Tm 3.11, 2 Ag 3.12, 2 Ba 3.48
8 Te 0.7161 0.5000 0.7281  2 Tm 3.11, 1 Ag 3.27, 3 Ba 3.42-3.47

Space group = No. 10
Raw formation energy = -1230 meV/atom
Size of the total moment = 0.00 μB per formula unit


# BaUAgTe3

BaUAgTe3 after structural relaxation (PBE-GGA, Alexandria).

Unit cell a=9.3589 b=4.5206 c=10.1655 alpha=90.00 beta=106.02 gamma=90.00
Last column: nearest neighbours and their distance in Å.
Sites, in units of the cell vectors:
1 Ba 0.1974 0.2500 0.2475  7 Te 3.51-3.68, 1 Ag 3.88
2 Ba 0.8026 0.7500 0.7525  7 Te 3.51-3.68, 1 Ag 3.88
3 U 0.3252 0.7500 0.8446  6 Te 3.12-3.15
4 U 0.6748 0.2500 0.1554  6 Te 3.12-3.15
5 Ag 0.0825 0.2500 0.5860  4 Te 2.86-2.97, 2 Ag 3.01
6 Ag 0.9175 0.7500 0.4140  4 Te 2.86-2.97, 2 Ag 3.01
7 Te 0.1010 0.2500 0.8711  1 Ag 2.86, 2 U 3.15
8 Te 0.2467 0.7500 0.5261  3 Ag 2.89-2.97, 1 U 3.12
9 Te 0.4463 0.7500 0.1641  3 U 3.13
10 Te 0.5537 0.2500 0.8359  3 U 3.13
11 Te 0.7533 0.2500 0.4739  3 Ag 2.89-2.97, 1 U 3.12
12 Te 0.8990 0.7500 0.1289  1 Ag 2.86, 2 U 3.15

Space group = No. 11
Raw formation energy = -889 meV/atom
Size of the total moment = 2.97 μB per formula unit


# Ba2UAg2Te6

Ba2UAg2Te6 after structural relaxation (PBE-GGA, Alexandria).

Unit cell a=8.6104 b=8.6104 c=8.5764 alpha=119.80 beta=119.80 gamma=49.44
Last column: nearest neighbours and their distance in Å.
Sites, in units of the cell vectors:
1 Ba 0.2499 0.2499 0.2316  7 Te 3.50-3.80
2 Ba 0.7501 0.7501 0.7684  7 Te 3.50-3.80
3 U 0.0000 0.0000 0.5000  6 Te 2.97-3.00
4 Ag 0.4205 0.4205 0.8056  3 Te 2.70-2.83, 1 Ag 2.87
5 Ag 0.5795 0.5795 0.1944  3 Te 2.70-2.83, 1 Ag 2.87
6 Te 0.1901 0.6752 0.1780  1 Ag 2.83, 1 U 3.00
7 Te 0.2144 0.2144 0.6002  1 Ag 2.70, 1 U 2.97
8 Te 0.3248 0.8099 0.8220  1 Ag 2.83, 1 U 3.00
9 Te 0.6752 0.1901 0.1780  1 Ag 2.83, 1 U 3.00
10 Te 0.7856 0.7856 0.3998  1 Ag 2.70, 1 U 2.97
11 Te 0.8099 0.3248 0.8220  1 Ag 2.83, 1 U 3.00

Space group = No. 12
Raw formation energy = -756 meV/atom
Size of the total moment = 1.30 μB per formula unit


# BaU2AgTe5

BaU2AgTe5 after structural relaxation (PBE-GGA, Alexandria).

Unit cell a=10.0558 b=10.0558 c=10.0558 alpha=131.05 beta=131.05 gamma=71.73
Last column: nearest neighbours and their distance in Å.
Sites, in units of the cell vectors:
1 Ba 0.2500 0.2500 0.0000  10 Te 3.72-4.07, 4 Ag 4.17
2 Ba 0.7500 0.7500 0.0000  10 Te 3.72-4.07, 4 Ag 4.17
3 U 0.1431 0.6431 0.7862  8 Te 3.10-3.27, 1 U 3.37
4 U 0.3569 0.1431 0.5000  8 Te 3.10-3.27, 1 U 3.37
5 U 0.6431 0.8569 0.5000  8 Te 3.10-3.27, 1 U 3.37
6 U 0.8569 0.3569 0.2138  8 Te 3.10-3.27, 1 U 3.37
7 Ag 0.2500 0.7500 0.5000  4 Te 2.76
8 Ag 0.7500 0.2500 0.5000  4 Te 2.76
9 Te 0.0000 0.0000 0.0000  4 U 3.20
10 Te 0.0338 0.2130 0.5000  1 Ag 2.76
11 Te 0.2130 0.7130 0.1792  1 Ag 2.76
12 Te 0.2870 0.4662 0.5000  1 Ag 2.76
13 Te 0.4662 0.9662 0.1792  1 Ag 2.76
14 Te 0.5000 0.5000 0.0000  4 U 3.20
15 Te 0.5338 0.0338 0.8208  1 Ag 2.76
16 Te 0.7130 0.5338 0.5000  1 Ag 2.76
17 Te 0.7870 0.2870 0.8208  1 Ag 2.76
18 Te 0.9662 0.7870 0.5000  1 Ag 2.76

Space group = No. 140
Raw formation energy = -773 meV/atom
Size of the total moment = 4.99 μB per formula unit


# Ba3UAg2Te6

Ba3UAg2Te6 after structural relaxation (PBE-GGA, Alexandria).

Unit cell a=8.4504 b=8.4504 c=8.7143 alpha=90.00 beta=90.00 gamma=120.00
Last column: nearest neighbours and their distance in Å.
Sites, in units of the cell vectors:
1 Ba 0.0000 0.0000 0.0000  6 Te 3.49
2 Ba 0.3333 0.6667 0.5814  3 Te 3.55, 1 Ag 3.70
3 Ba 0.6667 0.3333 0.4186  3 Te 3.55, 1 Ag 3.70
4 U 0.0000 0.0000 0.5000  6 Te 3.01
5 Ag 0.3333 0.6667 0.1568  3 Te 2.74
6 Ag 0.6667 0.3333 0.8432  3 Te 2.74
7 Te 0.1639 0.3278 0.2906  1 Ag 2.74, 1 U 3.01
8 Te 0.1639 0.8361 0.2906  1 Ag 2.74, 1 U 3.01
9 Te 0.3278 0.1639 0.7094  1 Ag 2.74, 1 U 3.01
10 Te 0.6722 0.8361 0.2906  1 Ag 2.74, 1 U 3.01
11 Te 0.8361 0.1639 0.7094  1 Ag 2.74, 1 U 3.01
12 Te 0.8361 0.6722 0.7094  1 Ag 2.74, 1 U 3.01

Space group = No. 164
Raw formation energy = -821 meV/atom
Size of the total moment = 2.00 μB per formula unit